No. 1
Density functional theory data (PBE) for a geometry-optimized FeBiRh2 structure.

The structure in POSCAR format:
```
FeBiRh2
1.0
4.0482 0.0000 0.0000
0.0000 4.0482 0.0000
0.0000 0.0000 17.7211
Fe Bi Rh
4 4 8
direct
0.0000 0.0000 0.0000
0.0000 0.5000 0.2500
0.5000 0.0000 0.7500
0.5000 0.5000 0.5000
0.0000 0.0000 0.5000
0.0000 0.5000 0.7500
0.5000 0.0000 0.2500
0.5000 0.5000 0.0000
0.2110 0.2500 0.1250
0.2500 0.7110 0.3750
0.2500 0.7890 0.8750
0.2890 0.2500 0.6250
0.7110 0.7500 0.6250
0.7500 0.2110 0.8750
0.7500 0.2890 0.3750
0.7890 0.7500 0.1250
```

Results
N(E_F)	0.837	states/eV per atom
raw total energy	-6.362	eV/atom

No. 2
Density functional theory data (PBE) for a geometry-optimized ZnAsIr2 structure.

The structure in POSCAR format:
```
ZnAsIr2
1.0
2.9415 0.0000 0.0000
0.0000 3.9198 0.0000
0.0000 0.0000 10.8791
Zn As Ir
2 2 4
direct
0.0000 0.0000 0.0000
0.5000 0.5000 0.5000
0.0000 0.5000 0.7459
0.5000 0.0000 0.2459
0.0000 0.0000 0.4263
0.0000 0.5000 0.1710
0.5000 0.0000 0.6710
0.5000 0.5000 0.9263
```

Results
N(E_F)	0.470	states/eV per atom
raw total energy	-5.900	eV/atom

No. 3
Density functional theory data (PBE) for a geometry-optimized NaNdBi structure.

The structure in POSCAR format:
```
NaNdBi
1.0
16.0582 0.0000 0.0000
0.0000 5.2994 0.0000
0.0000 0.0000 5.2985
Na Nd Bi
4 4 4
direct
0.0697 0.2500 0.2469
0.4303 0.7500 0.7469
0.5697 0.2500 0.2531
0.9303 0.7500 0.7531
0.2500 0.2500 0.7440
0.2500 0.7500 0.2440
0.7500 0.2500 0.7560
0.7500 0.7500 0.2560
0.1320 0.7500 0.7439
0.3680 0.2500 0.2439
0.6320 0.7500 0.7561
0.8680 0.2500 0.2561
```

Results
N(E_F)	0.704	states/eV per atom
raw total energy	-3.755	eV/atom

No. 4
Density functional theory data (PBE) for a geometry-optimized Nd3InPb structure.

The structure in POSCAR format:
```
Nd3InPb
1.0
8.2894 -3.2948 0.0000
8.2894 3.2948 0.0000
-2.1871 0.0000 11.3466
Nd In Pb
12 4 4
direct
0.1483 0.5634 0.0445
0.1751 0.7137 0.5149
0.1884 0.2225 0.2394
0.2225 0.1884 0.7394
0.2863 0.8249 0.9851
0.4366 0.8517 0.4555
0.5634 0.1483 0.5445
0.7137 0.1751 0.0149
0.7775 0.8116 0.2606
0.8116 0.7775 0.7606
0.8249 0.2863 0.4851
0.8517 0.4366 0.9555
0.3684 0.4622 0.7895
0.4622 0.3684 0.2895
0.5378 0.6316 0.7105
0.6316 0.5378 0.2105
0.0000 0.5000 0.5000
0.0633 0.9367 0.2500
0.5000 0.0000 0.0000
0.9367 0.0633 0.7500
```

Results
N(E_F)	0.935	states/eV per atom
raw total energy	-4.536	eV/atom

No. 5
Density functional theory data (PBE) for a geometry-optimized Pr9Y4In11 structure.

The structure in POSCAR format:
```
Pr9Y4In11
1.0
9.0674 -10.9087 0.0000
9.0674 10.9087 0.0000
0.0000 0.0000 3.5511
Pr Y In
9 4 11
direct
0.0000 0.0000 0.0000
0.1272 0.6424 0.0000
0.2906 0.4631 0.0000
0.3576 0.8728 0.0000
0.4631 0.2906 0.0000
0.5369 0.7094 0.0000
0.6424 0.1272 0.0000
0.7094 0.5369 0.0000
0.8728 0.3576 0.0000
0.0665 0.2381 0.0000
0.2381 0.0665 0.0000
0.7619 0.9335 0.0000
0.9335 0.7619 0.0000
0.0777 0.4322 0.5000
0.1344 0.8656 0.5000
0.2580 0.2580 0.5000
0.3341 0.6659 0.5000
0.4322 0.0777 0.5000
0.5000 0.5000 0.5000
0.5678 0.9223 0.5000
0.6659 0.3341 0.5000
0.7420 0.7420 0.5000
0.8656 0.1344 0.5000
0.9223 0.5678 0.5000
```

Results
N(E_F)	0.926	states/eV per atom
raw total energy	-4.541	eV/atom

No. 6
Density functional theory data (PBE) for a geometry-optimized In2FeSi structure.

The structure in POSCAR format:
```
In2FeSi
1.0
4.1525 0.0000 0.0000
0.0000 4.1888 0.0000
0.0000 0.0000 8.5679
In Fe Si
4 2 2
direct
0.0000 0.0000 0.2495
0.0000 0.0000 0.7505
0.5000 0.5000 0.2505
0.5000 0.5000 0.7495
0.0000 0.5000 0.0000
0.5000 0.0000 0.5000
0.0000 0.5000 0.5000
0.5000 0.0000 0.0000
```

Results
N(E_F)	0.918	states/eV per atom
raw total energy	-4.345	eV/atom